First-principles (PBE) data for a relaxed Ba2HfPb crystal, as listed in the Open Quantum Materials Database.

Calculated values
Space group: F-43m
Uncorrected energy (eV/atom): -3.974

Cell: 5.784 5.784 5.784 Å, 60.00 60.00 60.00°
Fractional coordinates of all 4 atoms:
Ba 0.000 0.000 0.000
Ba 0.250 0.250 0.250
Hf 0.750 0.750 0.750
Pb 0.500 0.500 0.500